# AcLa5Tb2Nd

AcLa5Tb2Nd after structural relaxation (PBE, Alexandria).

Lattice parameters (Å, degrees): 10.213 10.213 10.213 126.49 126.49 79.08
Element x y z (fractional)
Ac 0.250 0.250 0.000
Ac 0.750 0.750 0.000
La 0.000 0.000 0.000
La 0.063 0.563 0.887
La 0.176 0.063 0.500
La 0.324 0.824 0.887
La 0.437 0.324 0.500
La 0.500 0.500 0.000
La 0.563 0.676 0.500
La 0.676 0.176 0.113
La 0.824 0.937 0.500
La 0.937 0.437 0.113
Tb 0.116 0.384 0.500
Tb 0.384 0.884 0.269
Tb 0.616 0.116 0.731
Tb 0.884 0.616 0.500
Nd 0.250 0.750 0.500
Nd 0.750 0.250 0.500

SG: I4/mcm, No. 140
E_form: 0.24 eV per atom
size of the total moment: 0.000 μB per atom
electronic total energy: -4.52 eV per atom

=====

# Ac2LaTbNd

Ac2LaTbNd after structural relaxation (PBE, Alexandria).

Lattice parameters (Å, degrees): 9.122 6.833 6.454 90.00 90.06 90.00
Element x y z (fractional)
Ac 0.199 0.203 0.250
Ac 0.199 0.797 0.750
Ac 0.801 0.203 0.250
Ac 0.801 0.797 0.750
La 0.500 0.074 0.750
La 0.500 0.926 0.250
Tb 0.000 0.330 0.750
Tb 0.000 0.670 0.250
Nd 0.500 0.500 0.000
Nd 0.500 0.500 0.500

SG: P2/c, No. 13
E_form: 0.26 eV per atom
size of the total moment: 0.000 μB per atom
electronic total energy: -4.24 eV per atom

=====

# AcLaTbNd3

AcLaTbNd3 after structural relaxation (PBE, Alexandria).

Lattice parameters (Å, degrees): 10.879 10.879 7.168 91.03 91.03 31.60
Element x y z (fractional)
Ac 0.148 0.148 0.032
Ac 0.852 0.852 0.968
La 0.446 0.446 0.724
La 0.554 0.554 0.276
Tb 0.145 0.145 0.488
Tb 0.855 0.855 0.512
Nd 0.017 0.017 0.744
Nd 0.282 0.282 0.733
Nd 0.337 0.337 0.259
Nd 0.663 0.663 0.741
Nd 0.718 0.718 0.267
Nd 0.983 0.983 0.256

SG: C2/m, No. 12
E_form: 0.17 eV per atom
size of the total moment: 0.000 μB per atom
electronic total energy: -4.49 eV per atom

=====

# Ac2La2TbNd4

Ac2La2TbNd4 after structural relaxation (PBE, Alexandria).

Lattice parameters (Å, degrees): 9.959 9.959 10.096 115.22 115.22 21.99
Element x y z (fractional)
Ac 0.145 0.145 0.164
Ac 0.855 0.855 0.836
La 0.336 0.336 0.498
La 0.664 0.664 0.502
Tb 0.000 0.000 0.500
Nd 0.185 0.185 0.832
Nd 0.482 0.482 0.181
Nd 0.518 0.518 0.819
Nd 0.815 0.815 0.168

SG: C2/m, No. 12
E_form: 0.03 eV per atom
size of the total moment: 0.000 μB per atom
electronic total energy: -4.62 eV per atom

=====

# AcLa2Tb2Nd

AcLa2Tb2Nd after structural relaxation (PBE, Alexandria).

Lattice parameters (Å, degrees): 5.278 11.170 7.366 90.00 90.00 90.00
Element x y z (fractional)
Ac 0.000 0.166 0.000
Ac 0.000 0.834 0.500
La 0.000 0.496 0.494
La 0.000 0.504 0.994
La 0.500 0.335 0.746
La 0.500 0.665 0.246
Tb 0.000 0.170 0.501
Tb 0.000 0.830 0.001
Tb 0.500 0.333 0.248
Tb 0.500 0.667 0.748
Nd 0.500 0.002 0.253
Nd 0.500 0.998 0.753

SG: Pmc2_1, No. 26
E_form: 0.03 eV per atom
size of the total moment: 0.000 μB per atom
electronic total energy: -4.63 eV per atom

=====

# AcLa2TbNd5

AcLa2TbNd5 after structural relaxation (PBE, Alexandria).

Lattice parameters (Å, degrees): 11.665 11.665 10.568 90.00 90.00 152.26
Element x y z (fractional)
Ac 0.100 0.900 0.500
Ac 0.900 0.100 0.000
La 0.382 0.618 0.261
La 0.382 0.618 0.739
La 0.618 0.382 0.239
La 0.618 0.382 0.761
Tb 0.280 0.720 0.001
Tb 0.720 0.280 0.501
Nd 0.000 0.000 0.250
Nd 0.000 0.000 0.750
Nd 0.119 0.881 0.001
Nd 0.222 0.778 0.307
Nd 0.222 0.778 0.695
Nd 0.497 0.503 0.500
Nd 0.503 0.497 0.000
Nd 0.778 0.222 0.195
Nd 0.778 0.222 0.807
Nd 0.881 0.119 0.501

SG: Cmc2_1, No. 36
E_form: 0.14 eV per atom
size of the total moment: 0.000 μB per atom
electronic total energy: -4.58 eV per atom

=====

# AcLa4Tb2Nd

AcLa4Tb2Nd after structural relaxation (PBE, Alexandria).

Lattice parameters (Å, degrees): 6.435 6.435 10.582 114.38 114.38 48.29
Element x y z (fractional)
Ac 0.000 0.000 0.000
La 0.247 0.247 0.871
La 0.251 0.251 0.377
La 0.749 0.749 0.623
La 0.753 0.753 0.129
Tb 0.499 0.499 0.254
Tb 0.501 0.501 0.746
Nd 0.000 0.000 0.500

SG: C2/m, No. 12
E_form: 0.03 eV per atom
size of the total moment: 0.000 μB per atom
electronic total energy: -4.70 eV per atom

=====

# Ac5La2TbNd

Ac5La2TbNd after structural relaxation (PBE, Alexandria).

Lattice parameters (Å, degrees): 12.006 12.006 12.006 138.58 138.58 60.02
Element x y z (fractional)
Ac 0.000 0.000 0.000
Ac 0.090 0.590 0.957
Ac 0.133 0.090 0.500
Ac 0.367 0.867 0.957
Ac 0.410 0.367 0.500
Ac 0.500 0.500 0.000
Ac 0.590 0.633 0.500
Ac 0.633 0.133 0.043
Ac 0.867 0.910 0.500
Ac 0.910 0.410 0.043
La 0.121 0.379 0.500
La 0.379 0.879 0.257
La 0.621 0.121 0.743
La 0.879 0.621 0.500
Tb 0.250 0.750 0.500
Tb 0.750 0.250 0.500
Nd 0.250 0.250 0.000
Nd 0.750 0.750 0.000

SG: I4/mcm, No. 140
E_form: 0.26 eV per atom
size of the total moment: 0.000 μB per atom
electronic total energy: -4.16 eV per atom

=====

# AcLa2TbNd4

AcLa2TbNd4 after structural relaxation (PBE, Alexandria).

Lattice parameters (Å, degrees): 5.253 5.277 10.525 90.00 90.05 90.00
Element x y z (fractional)
Ac 0.000 0.000 0.000
La 0.000 0.000 0.500
La 0.500 0.500 0.000
Tb 0.500 0.500 0.500
Nd 0.000 0.500 0.257
Nd 0.000 0.500 0.743
Nd 0.500 0.000 0.257
Nd 0.500 0.000 0.743

SG: P2/m, No. 10
E_form: 0.02 eV per atom
size of the total moment: 0.000 μB per atom
electronic total energy: -4.69 eV per atom

=====

# AcLaTb2Nd4

AcLaTb2Nd4 after structural relaxation (PBE, Alexandria).

Lattice parameters (Å, degrees): 6.417 6.417 10.499 114.18 114.18 48.04
Element x y z (fractional)
Ac 0.000 0.000 0.000
La 0.000 0.000 0.500
Tb 0.499 0.499 0.254
Tb 0.501 0.501 0.746
Nd 0.248 0.248 0.872
Nd 0.251 0.251 0.377
Nd 0.749 0.749 0.623
Nd 0.752 0.752 0.128

SG: C2/m, No. 12
E_form: 0.03 eV per atom
size of the total moment: 0.000 μB per atom
electronic total energy: -4.64 eV per atom

=====

# Ac2La5TbNd

Ac2La5TbNd after structural relaxation (PBE, Alexandria).

Lattice parameters (Å, degrees): 11.736 11.736 10.636 90.00 90.00 151.85
Element x y z (fractional)
Ac 0.116 0.884 0.514
Ac 0.116 0.884 0.986
Ac 0.884 0.116 0.014
Ac 0.884 0.116 0.486
La 0.003 0.997 0.250
La 0.278 0.722 0.561
La 0.278 0.722 0.939
La 0.379 0.621 0.250
La 0.500 0.500 0.000
La 0.500 0.500 0.500
La 0.621 0.379 0.750
La 0.722 0.278 0.061
La 0.722 0.278 0.439
La 0.997 0.003 0.750
Tb 0.217 0.783 0.250
Tb 0.783 0.217 0.750
Nd 0.397 0.603 0.750
Nd 0.603 0.397 0.250

SG: Cmcm, No. 63
E_form: 0.10 eV per atom
size of the total moment: 0.000 μB per atom
electronic total energy: -4.60 eV per atom

=====

# AcLa2Tb2Nd2

AcLa2Tb2Nd2 after structural relaxation (PBE, Alexandria).

Lattice parameters (Å, degrees): 6.454 6.454 8.239 97.37 97.37 48.23
Element x y z (fractional)
Ac 0.000 0.000 0.000
La 0.285 0.285 0.850
La 0.715 0.715 0.150
Tb 0.142 0.142 0.432
Tb 0.858 0.858 0.568
Nd 0.426 0.426 0.294
Nd 0.574 0.574 0.706

SG: C2/m, No. 12
E_form: 0.03 eV per atom
size of the total moment: 0.000 μB per atom
electronic total energy: -4.65 eV per atom

=====

| no. | N(E_F) (states/eV/f.u.) |
| --- | --- |
| 1 | 16.574 |
| 2 | 7.088 |
| 3 | 8.652 |
| 4 | 13.069 |
| 5 | 9.404 |
| 6 | 14.968 |
| 7 | 14.422 |
| 8 | 14.362 |
| 9 | 13.867 |
| 10 | 14.105 |
| 11 | 13.833 |
| 12 | 12.722 |